Entry 1:
A plane-wave DFT calculation with PBE-GGA was carried out for a relaxed structure of LaPm.

The structure in POSCAR format:
```
LaPm
1.0
0.1332 2.8240 3.6804
-2.5795 3.8575 0.0595
-3.6655 0.2968 2.8309
Pm La
1 1
direct
0.2500 0.2500 0.2500
0.0000 0.0000 0.0000
```

Values from the calculation:
DFT formation energy: 1.30 eV per atom
uncorrected energy: -3.535 eV per atom

***

Entry 2:
A plane-wave DFT calculation with PBE-GGA was carried out for a relaxed structure of TbTlFe.

The structure in POSCAR format:
```
TbTlFe
1.0
1.8956 -4.0757 -1.2678
-0.2853 -3.6934 2.8443
-2.7487 -3.6051 -1.1226
Tb Fe Tl
1 1 1
direct
0.2500 0.2500 0.2500
0.0000 0.0000 0.0000
0.7500 0.7500 0.7500
```

Values from the calculation:
uncorrected energy: -4.830 eV per atom

***

Entry 3:
A plane-wave DFT calculation with PBE-GGA was carried out for a relaxed structure of BeSiTcAs.

The structure in POSCAR format:
```
BeSiTcAs
1.0
-0.7029 -4.1544 -0.5180
0.3897 -2.6459 3.2968
-3.4505 -1.7969 1.6989
Tc Si As Be
1 1 1 1
direct
0.2500 0.2500 0.2500
0.0000 0.0000 0.0000
0.5000 0.5000 0.5000
0.7500 0.7500 0.7500
```

Values from the calculation:
uncorrected energy: -5.766 eV per atom

***

Entry 4:
A plane-wave DFT calculation with PBE-GGA was carried out for a relaxed structure of GdTmAl3Si2.

The structure in POSCAR format:
```
GdTmAl3Si2
1.0
-4.0868 0.9680 -3.5015
-3.0524 -2.9416 -3.4539
-3.4228 -0.8375 5.5893
Gd Si Tm Al
1 2 1 3
direct
0.6197 0.6197 0.8229
0.0930 0.0930 0.1425
0.9071 0.9071 0.8618
0.3806 0.3806 0.1778
0.6954 0.6954 0.3653
0.3055 0.3055 0.6316
0.9987 0.9987 0.4982
```

Values from the calculation:
uncorrected energy: -4.997 eV per atom

***

Entry 5:
A plane-wave DFT calculation with PBE-GGA was carried out for a relaxed structure of BaGaFe.

The structure in POSCAR format:
```
BaGaFe
1.0
5.0217 -0.9346 -1.1534
2.3887 -4.2349 1.9444
1.2635 -3.9773 -3.1633
Fe Ba Ga
1 1 1
direct
0.2500 0.2500 0.2500
0.0000 0.0000 0.0000
0.7500 0.7500 0.7500
```

Values from the calculation:
uncorrected energy: -3.379 eV per atom

***

Entry 6:
A plane-wave DFT calculation with PBE-GGA was carried out for a relaxed structure of SiTc2Ir.

The structure in POSCAR format:
```
SiTc2Ir
1.0
0.0000 3.0524 3.0524
3.0524 0.0000 3.0524
3.0524 3.0524 0.0000
Tc Si Ir
2 1 1
direct
0.0000 0.0000 0.0000
0.7500 0.7500 0.7500
0.5000 0.5000 0.5000
0.2500 0.2500 0.2500
```

Values from the calculation:
uncorrected energy: -8.754 eV per atom

***

Entry 7:
A plane-wave DFT calculation with PBE-GGA was carried out for a relaxed structure of Co2I.

The structure in POSCAR format:
```
Co2I
1.0
1.8245 -6.5293 3.8873
7.4741 -1.6480 1.5793
2.6284 0.4318 7.3469
I Co
2 4
direct
0.5000 0.5000 0.5000
0.2500 0.2500 0.2500
0.8750 0.3750 0.3750
0.3750 0.8750 0.3750
0.3750 0.3750 0.8750
0.3750 0.3750 0.3750
```

Values from the calculation:
uncorrected energy: -3.492 eV per atom

***

Entry 8:
A plane-wave DFT calculation with PBE-GGA was carried out for a relaxed structure of ThBePb.

The structure in POSCAR format:
```
ThBePb
1.0
-1.5031 -2.6075 3.6125
-4.2367 0.8010 1.8754
-3.4740 -3.1058 -0.6272
Th Pb Be
1 1 1
direct
0.7500 0.7500 0.7500
0.2500 0.2500 0.2500
0.0000 0.0000 0.0000
```

Values from the calculation:
uncorrected energy: -4.820 eV per atom

***

Entry 9:
A plane-wave DFT calculation with PBE-GGA was carried out for a relaxed structure of Ho2ErTmGa4.

The structure in POSCAR format:
```
Ho2ErTmGa4
1.0
6.5766 0.0000 0.0000
0.0000 2.1472 6.6138
0.0000 -2.1472 6.6138
Ga Ho Er Tm
4 2 1 1
direct
0.3024 0.9023 0.9023
0.6976 0.9023 0.9023
0.1982 0.0979 0.0979
0.8018 0.0979 0.0979
0.0000 0.7238 0.7238
0.5000 0.2762 0.2762
0.0000 0.4492 0.4492
0.5000 0.5504 0.5504
```

Values from the calculation:
uncorrected energy: -4.419 eV per atom

***

Entry 10:
A plane-wave DFT calculation with PBE-GGA was carried out for a relaxed structure of Tm5B.

The structure in POSCAR format:
```
Tm5B
1.0
-0.5453 -4.9464 -3.5366
0.9943 -0.6255 5.9909
-5.7291 -0.0449 0.9462
Tm B
5 1
direct
0.0000 0.5000 0.5000
0.5000 0.5000 0.5000
0.3333 0.6667 0.0000
0.5000 0.0000 0.5000
0.6667 0.3333 0.0000
0.0000 0.0000 0.0000
```

Values from the calculation:
uncorrected energy: -3.596 eV per atom

***

Entry 11:
A plane-wave DFT calculation with PBE-GGA was carried out for a relaxed structure of ErSi2Pd.

The structure in POSCAR format:
```
ErSi2Pd
1.0
3.8775 0.0000 0.0000
0.0000 4.9954 0.0000
0.0000 0.0000 7.4465
Si Er Pd
4 2 2
direct
0.5000 0.5744 0.9780
0.0000 0.8499 0.0336
0.5000 0.4256 0.4780
0.0000 0.1501 0.5336
0.5000 0.1012 0.8124
0.5000 0.8988 0.3124
0.0000 0.3464 0.1760
0.0000 0.6536 0.6760
```

Values from the calculation:
uncorrected energy: -5.689 eV per atom

***

Entry 12:
A plane-wave DFT calculation with PBE-GGA was carried out for a relaxed structure of Nb4CdAsC2.

The structure in POSCAR format:
```
Nb4CdAsC2
1.0
3.2665 0.0000 0.0000
-1.6332 2.8288 0.0000
0.0000 0.0000 13.2895
Nb As Cd C
4 1 1 2
direct
0.6667 0.3333 0.1414
0.0000 0.0000 0.3164
0.6667 0.3333 0.8586
0.0000 0.0000 0.6836
0.0000 0.0000 0.0000
0.6667 0.3333 0.5000
0.3333 0.6667 0.2341
0.3333 0.6667 0.7659
```

Values from the calculation:
uncorrected energy: -8.521 eV per atom